# NaCu2Cl6

A geometry-optimized NaCu2Cl6 structure (GGA-PBE, Alexandria via LeMat-Bulk).

For the energy above the most stable polymorph in this dataset, the calculation gives 72 meV per atom. The calculation puts the total energy at -2.868 eV/atom. As for the formation energy from raw total energies: -0.580 eV/atom.

The structure in CIF format:
```
data_NaCu2Cl6
_chemical_formula_sum 'Na3 Cu6 Cl18'
_cell_length_a 6.5179
_cell_length_b 6.5179
_cell_length_c 22.5305
_cell_angle_alpha 90.00
_cell_angle_beta 90.00
_cell_angle_gamma 120.00
_space_group_name_H-M_alt 'R 3'
_space_group_IT_number 146
_space_group_name_Hall 'R 3'
loop_
_atom_site_label
_atom_site_fract_x
_atom_site_fract_y
_atom_site_fract_z
Na1 0.0000 0.0000 0.0000
Cu1 0.0000 0.0000 0.5775
Cu2 0.0000 0.0000 0.7516
Cl1 0.0021 0.6585 0.4161
Cl2 0.0265 0.3395 0.5791
```